Version one
Crystalline AcPrZnHg at its relaxed geometry, computed with PBE.

Lattice parameters (Å, degrees): 5.509 5.509 5.509 60.00 60.00 60.00
Fractional coordinates of all 4 atoms:
Ac (0.000, 0.000, 0.000)
Pr (0.500, 0.500, 0.500)
Zn (0.750, 0.750, 0.750)
Hg (0.250, 0.250, 0.250)

Values from the calculation:
The spin magnetization comes out at 0.37 μB per formula unit. The density of states at the Fermi level comes out at 4.5 states/eV/cell.


Version two
Crystalline AcPrZnHg at its relaxed geometry, computed with PBE.

Lattice parameters (Å, degrees): 3.877 3.877 7.783 90.00 90.00 90.00
Fractional coordinates of all 4 atoms:
Ac (0.000, 0.000, 0.000)
Pr (0.000, 0.000, 0.469)
Zn (0.500, 0.500, 0.255)
Hg (0.500, 0.500, 0.716)

Values from the calculation:
The spin magnetization comes out at 0.00 μB per formula unit. The density of states at the Fermi level comes out at 4.2 states/eV/cell.


Which structure is the least stable? The one labeled version one.